DFT (PBE) results for a relaxed Na2Be2O3 crystal.

Computed properties:
- Fermi-level density of states: 0.000 states/eV/atom
- Polymorph energy (0 for the lowest one): 0.23 eV per formula unit
- E_tot: -5.659 eV/atom
- Volume: 261 Å³/cell
- Uncorrected formation energy: -2.093 eV/atom

Cell: 7.6411 7.6411 4.9195 Å, 107.37 107.37 80.74°
Positions (direct):
1 Na 0.0732 0.9268 0.7500
2 Na 0.2155 0.7845 0.2500
3 Na 0.3150 0.4967 0.4396
4 Na 0.4967 0.3150 0.9396
5 Na 0.5033 0.6850 0.0604
6 Na 0.6850 0.5033 0.5604
7 Na 0.7845 0.2155 0.7500
8 Na 0.9268 0.0732 0.2500
9 Be 0.0358 0.5784 0.7324
10 Be 0.1433 0.3028 0.7997
11 Be 0.3028 0.1433 0.2997
12 Be 0.4216 0.9642 0.7676
13 Be 0.5784 0.0358 0.2324
14 Be 0.6972 0.8567 0.7003
15 Be 0.8567 0.6972 0.2003
16 Be 0.9642 0.4216 0.2676
17 O 0.0419 0.6369 0.4356
18 O 0.1006 0.2530 0.0899
19 O 0.2394 0.5036 0.9094
20 O 0.2530 0.1006 0.5899
21 O 0.3631 0.9581 0.0644
22 O 0.4964 0.7606 0.5906
23 O 0.5036 0.2394 0.4094
24 O 0.6369 0.0419 0.9356
25 O 0.7470 0.8994 0.4101
26 O 0.7606 0.4964 0.0906
27 O 0.8994 0.7470 0.9101
28 O 0.9581 0.3631 0.5644